(1)
BaAsP2 (PBE, relaxed); D(E_F) = 4.111 states/eV per cell; V = 24.3 Å³ per atom; symmetry = R-3m; energy of formation from the pure elements = -301 meV per atom; electronic total energy = -4.649 eV per atom; crystal system = trigonal; M_tot = 0.00 μB per cell
1.0
4.558 0.000 0.000
-2.279 3.947 0.000
0.000 0.000 16.199
Ba As P
3 3 6
Cartesian
0.000 0.000 0.000
0.000 2.631 10.799
2.279 1.316 5.400
0.000 0.000 8.099
0.000 2.631 2.700
2.279 1.316 13.499
0.000 0.000 3.192
0.000 0.000 13.007
0.000 2.631 7.607
0.000 2.631 13.991
2.279 1.316 2.208
2.279 1.316 8.592

---

(2)
Ba2As2P (PBE, relaxed); D(E_F) = 10.686 states/eV per cell; V = 29.6 Å³ per atom; symmetry = P4/mbm; energy of formation from the pure elements = -650 meV per atom; electronic total energy = -4.361 eV per atom; crystal system = tetragonal; M_tot = 0.00 μB per cell
1.0
7.884 0.000 0.000
0.000 7.884 0.000
0.000 0.000 4.765
Ba As P
4 4 2
Cartesian
1.463 2.479 0.000
2.479 6.421 0.000
5.405 1.463 0.000
6.421 5.405 0.000
0.884 4.826 2.383
3.058 0.884 2.383
4.826 7.000 2.383
7.000 3.058 2.383
0.000 0.000 2.383
3.942 3.942 2.383

---

(3)
BaAsP2 (PBE, relaxed); D(E_F) = 2.651 states/eV per cell; V = 24.2 Å³ per atom; symmetry = C2/m; energy of formation from the pure elements = -392 meV per atom; electronic total energy = -4.740 eV per atom; crystal system = monoclinic; M_tot = 0.00 μB per cell
1.0
9.943 0.000 0.000
0.000 3.655 0.000
-2.207 0.000 5.331
Ba As P
2 2 4
Cartesian
0.000 0.000 0.000
4.971 1.828 0.000
-1.103 1.828 2.665
3.868 0.000 2.665
0.774 0.000 3.168
1.990 1.828 2.163
5.746 1.828 3.168
6.962 0.000 2.163

---

(4)
BaAs2P (PBE, relaxed); D(E_F) = 2.885 states/eV per cell; V = 25.6 Å³ per atom; symmetry = Cm; energy of formation from the pure elements = -427 meV per atom; electronic total energy = -4.585 eV per atom; crystal system = monoclinic; M_tot = 0.00 μB per cell
1.0
10.251 0.000 0.000
0.000 3.746 0.000
-2.176 0.000 5.337
Ba As P
2 4 2
Cartesian
0.000 0.000 0.000
5.125 1.873 0.000
-0.971 1.873 2.708
2.154 1.873 2.118
4.154 0.000 2.708
7.279 0.000 2.118
0.839 0.000 3.219
5.964 1.873 3.219

---

(5)
BaAsP4 (PBE, relaxed); D(E_F) = 4.830 states/eV per cell; V = 23.5 Å³ per atom; symmetry = F-43m; energy of formation from the pure elements = -57 meV per atom; electronic total energy = -4.759 eV per atom; crystal system = cubic; M_tot = 0.00 μB per cell
1.0
0.000 4.134 4.134
4.134 0.000 4.134
4.134 4.134 0.000
Ba As P
1 1 4
Cartesian
0.000 0.000 0.000
2.067 2.067 2.067
4.927 3.340 3.340
3.340 4.927 3.340
3.340 3.340 4.927
4.927 4.927 4.927

---

(6)
BaAs2P (PBE, relaxed); D(E_F) = 3.764 states/eV per cell; V = 25.2 Å³ per atom; symmetry = Cmm2; energy of formation from the pure elements = -160 meV per atom; electronic total energy = -4.318 eV per atom; crystal system = orthorhombic; M_tot = 0.00 μB per cell
1.0
5.116 0.000 0.000
0.000 6.114 0.000
0.000 0.000 6.443
Ba As P
2 4 2
Cartesian
0.000 0.000 0.000
2.558 3.057 0.000
0.000 0.000 3.252
0.000 3.057 2.195
2.558 0.000 2.195
2.558 3.057 3.252
0.000 3.057 4.515
2.558 0.000 4.515

---

The lowest V belongs to which entry? BaAsP4